Computed, not measured: a relaxed TbAl2GaAu4 crystal at the PBE level of DFT.

Output
* crystal system: trigonal
* volume: 153.7 Å³/f.u.

Unit cell a=4.3731 b=4.3731 c=27.8423 alpha=90.00 beta=90.00 gamma=120.00
Space group R-3m (No. 166, hexagonal axes)
Asymmetric unit:
Tb  0.0000  0.0000  0.0000 x3
Al  0.0000  0.0000  0.2468 x6
Ga  0.0000  0.0000  0.5000 x3
Au  0.0000  0.0000  0.1248 x6
Au  0.0000  0.0000  0.3943 x6

Computed, not measured: a relaxed Tb2AlGaAu6 crystal at the PBE level of DFT.

Output
* crystal system: triclinic
* volume: 204.8 Å³/f.u.

Unit cell a=5.249 b=5.507 c=7.734 alpha=98.83 beta=107.33 gamma=100.27
Space group P-1 (No. 2)
Asymmetric unit:
Tb  0.071  0.321  0.190 x2
Al  0.500  0.000  0.500 x1
Ga  0.500  0.500  0.000 x1
Au  0.030  0.166  0.684 x2
Au  0.324  0.584  0.598 x2
Au  0.422  0.925  0.148 x2

Computed, not measured: a relaxed AlGaTe4Au2 crystal at the PBE level of DFT.

Output
* crystal system: tetragonal
* formation energy without anion corrections: -26 kJ/mol of atoms
* volume: 248.2 Å³/f.u.

Unit cell a=6.326 b=6.326 c=12.404 alpha=90.00 beta=90.00 gamma=90.00
Space group I-4 (No. 82)
Asymmetric unit:
Al  0.000  0.000  0.000 x2
Ga  0.000  0.500  0.750 x2
Te  0.239  0.249  0.876 x8
Au  0.000  0.000  0.500 x2
Au  0.000  0.500  0.250 x2

Computed, not measured: a relaxed AlGa2TeAu crystal at the PBE level of DFT.

Output
* crystal system: tetragonal
* formation energy without anion corrections: 21 kJ/mol of atoms
* volume: 124.7 Å³/f.u.

Unit cell a=5.031 b=5.031 c=4.925 alpha=90.00 beta=90.00 gamma=90.00
Space group P4/mmm (No. 123)
Asymmetric unit:
Al  0.000  0.000  0.000 x1
Ga  0.000  0.500  0.000 x2
Te  0.500  0.500  0.500 x1
Au  0.000  0.000  0.500 x1

Computed, not measured: a relaxed ThAlGa2Au crystal at the PBE level of DFT.

Output
* crystal system: orthorhombic
* volume: 116.3 Å³/f.u.

Unit cell a=6.181 b=9.003 c=8.356 alpha=90.00 beta=90.00 gamma=90.00
Space group Cmme (No. 67)
Asymmetric unit:
Th  0.000  0.250  0.206 x4
Al  0.000  0.000  0.500 x4
Ga  0.000  0.113  0.776 x8
Au  0.250  0.000  0.000 x4

Computed, not measured: a relaxed Th2AlGa3Au4 crystal at the PBE level of DFT.

Output
* crystal system: tetragonal
* volume: 205.9 Å³/f.u.

Unit cell a=4.364 b=4.364 c=10.813 alpha=90.00 beta=90.00 gamma=90.00
Space group P-4m2 (No. 115)
Asymmetric unit:
Th  0.000  0.500  0.241 x2
Al  0.000  0.000  0.500 x1
Ga  0.000  0.500  0.863 x2
Ga  0.500  0.500  0.500 x1
Au  0.000  0.000  0.000 x1
Au  0.000  0.500  0.631 x2
Au  0.500  0.500  0.000 x1

Computed, not measured: a relaxed Th2Al4GaAu3 crystal at the PBE level of DFT.

Output
* crystal system: tetragonal
* volume: 202.9 Å³/f.u.

Unit cell a=4.364 b=4.364 c=10.656 alpha=90.00 beta=90.00 gamma=90.00
Space group P-4m2 (No. 115)
Asymmetric unit:
Th  0.000  0.500  0.246 x2
Al  0.000  0.000  0.500 x1
Al  0.000  0.500  0.866 x2
Al  0.500  0.500  0.500 x1
Ga  0.500  0.500  0.000 x1
Au  0.000  0.000  0.000 x1
Au  0.000  0.500  0.632 x2

Computed, not measured: a relaxed ThAlGa2Au4 crystal at the PBE level of DFT.

Output
* crystal system: trigonal
* volume: 156.4 Å³/f.u.

Unit cell a=4.5116 b=4.5116 c=26.6228 alpha=90.00 beta=90.00 gamma=120.00
Space group R-3m (No. 166, hexagonal axes)
Asymmetric unit:
Th  0.0000  0.0000  0.0000 x3
Al  0.0000  0.0000  0.5000 x3
Ga  0.0000  0.0000  0.2537 x6
Au  0.0000  0.0000  0.1358 x6
Au  0.0000  0.0000  0.3983 x6

Computed, not measured: a relaxed AlTl2GaAu6 crystal at the PBE level of DFT.

Output
* crystal system: triclinic
* volume: 224.2 Å³/f.u.

Unit cell a=6.732 b=6.748 c=6.818 alpha=61.56 beta=60.58 gamma=61.07
Space group P-1 (No. 2)
Asymmetric unit:
Al  0.000  0.000  0.000 x1
Tl  0.303  0.089  0.304 x2
Ga  0.500  0.500  0.500 x1
Au  0.151  0.341  0.654 x2
Au  0.153  0.653  0.849 x2
Au  0.347  0.661  0.150 x2

Computed, not measured: a relaxed Tm2Al4GaAu3 crystal at the PBE level of DFT.

Output
* crystal system: tetragonal
* volume: 193.6 Å³/f.u.

Unit cell a=4.201 b=4.201 c=10.971 alpha=90.00 beta=90.00 gamma=90.00
Space group P-4m2 (No. 115)
Asymmetric unit:
Tm  0.000  0.500  0.247 x2
Al  0.000  0.000  0.500 x1
Al  0.000  0.500  0.861 x2
Al  0.500  0.500  0.500 x1
Ga  0.500  0.500  0.000 x1
Au  0.000  0.000  0.000 x1
Au  0.000  0.500  0.638 x2

Computed, not measured: a relaxed Tm3Al3Ga2Au crystal at the PBE level of DFT.

Output
* crystal system: hexagonal
* volume: 179.1 Å³/f.u.

Unit cell a=6.9363 b=6.9363 c=4.2982 alpha=90.00 beta=90.00 gamma=120.00
Space group P-62m (No. 189)
Asymmetric unit:
Tm  0.0000  0.5783  0.0000 x3
Al  0.0000  0.2430  0.5000 x3
Ga  0.3333  0.6667  0.5000 x2
Au  0.0000  0.0000  0.0000 x1

Computed, not measured: a relaxed TmAlGaAu crystal at the PBE level of DFT.

Output
* crystal system: cubic
* volume: 77.6 Å³/f.u.

Unit cell a=6.770 b=6.770 c=6.770 alpha=90.00 beta=90.00 gamma=90.00
Space group F-43m (No. 216)
Asymmetric unit:
Tm  0.000  0.000  0.000 x4
Al  0.000  0.000  0.500 x4
Ga  0.250  0.250  0.250 x4
Au  0.250  0.250  0.750 x4

Computed, not measured: a relaxed TmAlGaAu3 crystal at the PBE level of DFT.

Output
* crystal system: orthorhombic
* volume: 136.3 Å³/f.u.

Unit cell a=5.712 b=16.853 c=5.665 alpha=90.00 beta=90.00 gamma=90.00
Space group Cmcm (No. 63)
Asymmetric unit:
Tm  0.000  0.180  0.250 x4
Al  0.000  0.403  0.750 x4
Ga  0.000  0.106  0.750 x4
Au  0.000  0.256  0.750 x4
Au  0.248  0.000  0.000 x8

Computed, not measured: a relaxed UAl2GaAu4 crystal at the PBE level of DFT.

Output
* crystal system: trigonal
* volume: 153.7 Å³/f.u.

Unit cell a=4.3947 b=4.3947 c=27.5728 alpha=90.00 beta=90.00 gamma=120.00
Space group R-3m (No. 166, hexagonal axes)
Asymmetric unit:
U  0.0000  0.0000  0.0000 x3
Al  0.0000  0.0000  0.2473 x6
Ga  0.0000  0.0000  0.5000 x3
Au  0.0000  0.0000  0.1250 x6
Au  0.0000  0.0000  0.3922 x6

Computed, not measured: a relaxed Y2AlGa3Au4 crystal at the PBE level of DFT.

Output
* crystal system: tetragonal
* volume: 200.5 Å³/f.u.

Unit cell a=4.337 b=4.337 c=10.661 alpha=90.00 beta=90.00 gamma=90.00
Space group P-4m2 (No. 115)
Asymmetric unit:
Y  0.000  0.500  0.245 x2
Al  0.000  0.000  0.500 x1
Ga  0.000  0.500  0.864 x2
Ga  0.500  0.500  0.500 x1
Au  0.000  0.000  0.000 x1
Au  0.000  0.500  0.632 x2
Au  0.500  0.500  0.000 x1

Computed, not measured: a relaxed YAlGaAu2 crystal at the PBE level of DFT.

Output
* crystal system: tetragonal
* volume: 125.7 Å³/f.u.

Unit cell a=4.769 b=4.769 c=5.527 alpha=90.00 beta=90.00 gamma=90.00
Space group P4/mmm (No. 123)
Asymmetric unit:
Y  0.000  0.000  0.000 x1
Al  0.000  0.000  0.500 x1
Ga  0.500  0.500  0.000 x1
Au  0.000  0.500  0.500 x2

Computed, not measured: a relaxed Y2Al3GaAu4 crystal at the PBE level of DFT.

Output
* crystal system: tetragonal
* volume: 199.2 Å³/f.u.

Unit cell a=4.339 b=4.339 c=10.578 alpha=90.00 beta=90.00 gamma=90.00
Space group P-4m2 (No. 115)
Asymmetric unit:
Y  0.000  0.500  0.249 x2
Al  0.000  0.500  0.868 x2
Al  0.500  0.500  0.500 x1
Ga  0.000  0.000  0.500 x1
Au  0.000  0.000  0.000 x1
Au  0.000  0.500  0.636 x2
Au  0.500  0.500  0.000 x1

Computed, not measured: a relaxed YAlGaAu3 crystal at the PBE level of DFT.

Output
* crystal system: orthorhombic
* volume: 139.7 Å³/f.u.

Unit cell a=5.839 b=16.451 c=5.818 alpha=90.00 beta=90.00 gamma=90.00
Space group Cmcm (No. 63)
Asymmetric unit:
Y  0.000  0.173  0.250 x4
Al  0.000  0.406  0.750 x4
Ga  0.000  0.103  0.750 x4
Au  0.000  0.256  0.750 x4
Au  0.248  0.000  0.000 x8

Computed, not measured: a relaxed YAlGa2Au5 crystal at the PBE level of DFT.

Output
* crystal system: orthorhombic
* volume: 193.1 Å³/f.u.

Unit cell a=4.767 b=5.945 c=13.631 alpha=90.00 beta=90.00 gamma=90.00
Space group Immm (No. 71)
Asymmetric unit:
Y  0.000  0.000  0.000 x2
Al  0.000  0.000  0.500 x2
Ga  0.000  0.500  0.189 x4
Au  0.000  0.264  0.351 x8
Au  0.000  0.500  0.000 x2

Computed, not measured: a relaxed Gd2AlAu crystal at the PBE level of DFT.

Output
* crystal system: tetragonal
* volume: 96.9 Å³/f.u.

Unit cell a=3.591 b=3.591 c=7.518 alpha=90.00 beta=90.00 gamma=90.00
Space group P4/mmm (No. 123)
Asymmetric unit:
Gd  0.000  0.000  0.246 x2
Al  0.500  0.500  0.500 x1
Au  0.500  0.500  0.000 x1

Results for total DFT energy (no corrections): -96.5, -41.1, -56.0, -15.1, -85.3, -47.0, -49.3, -101.8, -32.3, -43.0, -40.2, -66.7, -92.3, -110.7, -45.2, -19.3, -47.2, -101.0, -70.0, -37.6 (in eV per cell, following the order of the records).